# 1
First-principles (PBE) data for a relaxed YHo5Sb6 crystal, as listed in Alexandria via LeMat-Bulk.

Properties
ρ in g/cm³: 7.69
Symmetry: C2/m, No. 12
Final energy in eV per atom: -5.6298
Formation energy without anion corrections in eV/atom: -1.12

Cell lengths 7.574, 7.576, 7.576 Å; angles 60.00, 80.40, 70.52 degrees
Element x y z (fractional)
Y  0.000  0.000  0.000
Ho  0.500  0.166  0.668
Ho  0.000  0.333  0.334
Ho  0.500  0.500  0.000
Ho  0.000  0.667  0.666
Ho  0.500  0.834  0.332
Sb  0.749  0.084  0.334
Sb  0.251  0.582  0.334
Sb  0.250  0.251  0.000
Sb  0.750  0.749  0.000
Sb  0.749  0.418  0.666
Sb  0.251  0.916  0.666



# 2
First-principles (PBE) data for a relaxed Y5Ho2Sb4 crystal, as listed in Alexandria via LeMat-Bulk.

Properties
ρ in g/cm³: 5.86
Symmetry: C2/m, No. 12
Final energy in eV per atom: -5.7668
Formation energy without anion corrections in eV/atom: -0.50

Cell lengths 4.023, 6.983, 14.912 Å; angles 120.17, 97.75, 90.00 degrees
Each line ends with the local moment (μB).
Element x y z (fractional)
Y  0.093  0.885  0.186  0.07
Y  0.907  0.115  0.814  0.07
Y  0.142  0.477  0.284  0.00
Y  0.500  0.000  0.000  0.07
Y  0.858  0.523  0.716  0.00
Ho  0.764  0.750  0.527  0.00
Ho  0.236  0.250  0.473  0.00
Sb  0.673  0.862  0.345  0.00
Sb  0.970  0.633  0.941  0.00
Sb  0.327  0.138  0.655  0.00
Sb  0.030  0.367  0.059  0.00



# 3
First-principles (PBE) data for a relaxed Y5Ho5Sb6 crystal, as listed in Alexandria via LeMat-Bulk.

Properties
ρ in g/cm³: 7.56
Symmetry: Amm2, No. 38
Final energy in eV per atom: -5.9359
Formation energy without anion corrections in eV/atom: -0.94

Cell lengths 6.305, 8.965, 8.965 Å; angles 119.95, 90.00, 90.00 degrees
Element x y z (fractional)
Y  0.000  0.753  0.000
Y  0.000  0.000  0.753
Y  0.500  0.752  0.752
Y  0.500  0.247  0.000
Y  0.500  0.000  0.247
Ho  0.750  0.333  0.667
Ho  0.750  0.667  0.333
Ho  0.250  0.667  0.333
Ho  0.250  0.333  0.667
Ho  0.000  0.248  0.248
Sb  0.000  0.610  0.610
Sb  0.000  0.389  0.001
Sb  0.000  0.001  0.389
Sb  0.500  0.389  0.389
Sb  0.500  0.611  0.000
Sb  0.500  0.000  0.611



# 4
First-principles (PBE) data for a relaxed Y5Ho2Sb5 crystal, as listed in Alexandria via LeMat-Bulk.

Properties
ρ in g/cm³: 6.28
Symmetry: C2/m, No. 12
Final energy in eV per atom: -6.0467
Formation energy without anion corrections in eV/atom: -0.87

Cell lengths 4.345, 7.425, 12.572 Å; angles 108.46, 90.00, 107.01 degrees
Element x y z (fractional)
Y  0.500  0.000  0.500
Y  0.660  0.320  0.037
Y  0.724  0.449  0.346
Y  0.276  0.551  0.654
Y  0.340  0.680  0.963
Ho  0.045  0.091  0.787
Ho  0.955  0.909  0.213
Sb  0.118  0.235  0.430
Sb  0.696  0.392  0.792
Sb  0.304  0.608  0.208
Sb  0.882  0.765  0.570
Sb  0.000  0.000  0.000



# 5
First-principles (PBE) data for a relaxed HoZnSb2 crystal, as listed in Alexandria via LeMat-Bulk.

Properties
ρ in g/cm³: 8.19
Symmetry: P4/mmm, No. 123
Final energy in eV per atom: -3.9335
Formation energy without anion corrections in eV/atom: -0.41

Cell lengths 4.167, 4.802, 4.802 Å; angles 90.00, 90.00, 90.00 degrees
Element x y z (fractional)
Sb  0.000  0.000  0.500
Sb  0.000  0.500  0.000
Zn  0.500  0.000  0.000
Ho  0.500  0.500  0.500



# 6
First-principles (PBE) data for a relaxed Ho6ZnSb2 crystal, as listed in Alexandria via LeMat-Bulk.

Properties
ρ in g/cm³: 6.98
Symmetry: P4_2/mnm, No. 136
Final energy in eV per atom: -4.2733
Formation energy without anion corrections in eV/atom: -0.16

Cell lengths 6.830, 6.830, 13.238 Å; angles 90.00, 90.00, 90.00 degrees
Each line ends with the local moment (μB).
Element x y z (fractional)
Ho  0.306  0.306  0.342  0.06
Ho  0.694  0.694  0.342  0.06
Ho  0.194  0.806  0.842  0.06
Ho  0.806  0.194  0.842  0.06
Ho  0.194  0.806  0.158  0.06
Ho  0.806  0.194  0.158  0.06
Ho  0.306  0.306  0.658  0.06
Ho  0.694  0.694  0.658  0.06
Ho  0.287  0.287  0.000  0.04
Ho  0.713  0.713  0.000  0.04
Ho  0.213  0.787  0.500  0.04
Ho  0.787  0.213  0.500  0.04
Zn  0.000  0.000  0.000  0.01
Zn  0.500  0.500  0.500  0.01
Sb  0.000  0.000  0.334  0.00
Sb  0.500  0.500  0.834  0.00
Sb  0.500  0.500  0.166  0.00
Sb  0.000  0.000  0.666  0.00



# 7
First-principles (PBE) data for a relaxed HoZn2Sb crystal, as listed in Alexandria via LeMat-Bulk.

Properties
ρ in g/cm³: 8.16
Symmetry: P4/mmm, No. 123
Final energy in eV per atom: -3.2211
Formation energy without anion corrections in eV/atom: -0.41

Cell lengths 4.521, 4.334, 4.334 Å; angles 90.00, 90.00, 90.00 degrees
Element x y z (fractional)
Sb  0.500  0.500  0.500
Zn  0.000  0.000  0.500
Zn  0.000  0.500  0.000
Ho  0.500  0.000  0.000



# 8
First-principles (PBE) data for a relaxed Ho2ZnSb4 crystal, as listed in Alexandria via LeMat-Bulk.

Properties
ρ in g/cm³: 7.97
Symmetry: P-4m2, No. 115
Final energy in eV per atom: -4.4802
Formation energy without anion corrections in eV/atom: -0.63

Cell lengths 4.327, 4.327, 9.825 Å; angles 90.00, 90.00, 90.00 degrees
Element x y z (fractional)
Ho  0.500  0.000  0.747
Ho  0.000  0.500  0.253
Zn  0.500  0.500  0.000
Sb  0.500  0.000  0.162
Sb  0.000  0.500  0.838
Sb  0.500  0.500  0.500
Sb  0.000  0.000  0.500



# 9
First-principles (PBE) data for a relaxed Ho8ZnSb2 crystal, as listed in Alexandria via LeMat-Bulk.

Properties
ρ in g/cm³: 8.75
Symmetry: C2/m, No. 12
Final energy in eV per atom: -4.5741
Formation energy without anion corrections in eV/atom: -0.38

Cell lengths 4.943, 6.784, 9.784 Å; angles 102.71, 104.63, 90.00 degrees
Element x y z (fractional)
Ho  0.408  0.521  0.816
Ho  0.654  0.013  0.308
Ho  0.786  0.668  0.571
Ho  0.983  0.226  0.966
Ho  0.214  0.332  0.429
Ho  0.346  0.987  0.692
Ho  0.592  0.479  0.184
Ho  0.017  0.774  0.034
Zn  0.500  0.000  0.000
Sb  0.819  0.234  0.639
Sb  0.181  0.766  0.361



# 10
First-principles (PBE) data for a relaxed HoZnSb2 crystal, as listed in Alexandria via LeMat-Bulk.

Properties
ρ in g/cm³: 7.33
Symmetry: R-3m, No. 166
Final energy in eV per atom: -3.8126
Formation energy without anion corrections in eV/atom: -0.29

Cell lengths 4.227, 4.227, 7.355 Å; angles 73.30, 73.30, 60.00 degrees
Element x y z (fractional)
Sb  0.259  0.259  0.224
Sb  0.741  0.741  0.776
Zn  0.000  0.000  0.000
Ho  0.500  0.500  0.500



# 11
First-principles (PBE) data for a relaxed HoZnSb2 crystal, as listed in Alexandria via LeMat-Bulk.

Properties
ρ in g/cm³: 8.06
Symmetry: Pnma, No. 62
Final energy in eV per atom: -3.9593
Formation energy without anion corrections in eV/atom: -0.44

Cell lengths 4.983, 6.339, 12.362 Å; angles 90.00, 90.00, 90.00 degrees
Element x y z (fractional)
Ho  0.250  0.648  0.591
Ho  0.750  0.148  0.909
Ho  0.750  0.352  0.409
Ho  0.250  0.852  0.091
Zn  0.250  0.425  0.810
Zn  0.750  0.925  0.690
Zn  0.750  0.575  0.190
Zn  0.250  0.075  0.310
Sb  0.250  0.147  0.534
Sb  0.750  0.647  0.966
Sb  0.750  0.853  0.466
Sb  0.250  0.353  0.034
Sb  0.250  0.878  0.812
Sb  0.750  0.378  0.688
Sb  0.750  0.122  0.188
Sb  0.250  0.622  0.312



# 12
First-principles (PBE) data for a relaxed HoZnSb crystal, as listed in Alexandria via LeMat-Bulk.

Properties
ρ in g/cm³: 7.30
Symmetry: P-1, No. 2
Final energy in eV per atom: -3.8395
Formation energy without anion corrections in eV/atom: -0.51
Polymorph energy (0 for the lowest one) in meV per atom: 50

Cell lengths 4.532, 5.721, 10.357 Å; angles 98.51, 100.60, 37.33 degrees
Element x y z (fractional)
Sb  0.805  0.323  0.390
Sb  0.574  0.328  0.043
Ho  0.860  0.824  0.522
Ho  0.520  0.827  0.911
Zn  0.917  0.325  0.662
Zn  0.462  0.325  0.771